[1]
# AlCuAg2

AlCuAg2 after structural relaxation (PBE, Alexandria).

Computed properties:
M_tot, μB per formula unit: 0.00
Energy relative to the elements, eV per atom: -0.038
Space group: Imm2, No. 44
Density, Mg/m³: 8.1
Fermi-level density of states, states/eV per cell: 0.96

a = 5.2425 Å, b = 5.2425 Å, c = 5.2425 Å
α = 145.39°, β = 129.11°, γ = 63.00°
Last column: nearest neighbours and their distance in Å.
Fractional coordinates of all 4 atoms:
1 Cu 0.2642 0.7642 0.5000  2 Al 2.52, 6 Ag 2.74-2.75
2 Ag 0.0118 0.0118 0.0000  2 Cu 2.74, 4 Al 2.75, 4 Ag 2.90-3.03
3 Ag 0.7383 0.2383 0.5000  2 Al 2.74, 4 Cu 2.75, 4 Ag 2.90-3.03
4 Al 0.4857 0.4857 0.0000  2 Cu 2.52, 6 Ag 2.74-2.75

***

[2]
# AlCuAg2

AlCuAg2 after structural relaxation (PBE, Alexandria).

Computed properties:
M_tot, μB per formula unit: 0.00
Energy relative to the elements, eV per atom: 0.005
Space group: F-43m, No. 216
Density, Mg/m³: 8.0
Fermi-level density of states, states/eV per cell: 1.65

a = 4.4764 Å, b = 4.4764 Å, c = 4.4764 Å
α = 60.00°, β = 60.00°, γ = 60.00°
Last column: nearest neighbours and their distance in Å.
Fractional coordinates of all 4 atoms:
1 Cu 0.2500 0.2500 0.2500  4 Al 2.74, 4 Ag 2.74
2 Ag 0.0000 0.0000 0.0000  4 Cu 2.74, 4 Ag 2.74
3 Ag 0.7500 0.7500 0.7500  4 Ag 2.74, 4 Al 2.74
4 Al 0.5000 0.5000 0.5000  4 Cu 2.74, 4 Ag 2.74

***

[3]
# Al2CuAg

Al2CuAg after structural relaxation (PBE, Alexandria).

Computed properties:
M_tot, μB per formula unit: 0.00
Distance to the lowest polymorph of the same formula, meV/atom: 0
Energy relative to the elements, eV per atom: -0.079
Space group: P4/mmm, No. 123
Density, Mg/m³: 6.1
Fermi-level density of states, states/eV per cell: 1.35

a = 2.8646 Å, b = 2.8646 Å, c = 7.4757 Å
α = 90.00°, β = 90.00°, γ = 90.00°
Last column: nearest neighbours and their distance in Å.
Fractional coordinates of all 4 atoms:
1 Cu 0.5000 0.5000 0.2500  8 Al 2.61, 4 Cu 2.86
2 Ag 0.5000 0.5000 0.7500  4 Ag 2.86, 8 Al 2.92
3 Al 0.0000 0.0000 0.0306  4 Cu 2.61, 4 Al 2.86, 4 Ag 2.92
4 Al 0.0000 0.0000 0.4694  4 Cu 2.61, 4 Al 2.86, 4 Ag 2.92

***

[4]
# AlCu2Ag

AlCu2Ag after structural relaxation (PBE, Alexandria).

Computed properties:
M_tot, μB per formula unit: 0.00
Energy relative to the elements, eV per atom: -0.056
Space group: C2/m, No. 12
Density, Mg/m³: 7.6
Fermi-level density of states, states/eV per cell: 0.67

a = 4.7615 Å, b = 4.7615 Å, c = 4.5424 Å
α = 73.94°, β = 73.94°, γ = 35.25°
Last column: nearest neighbours and their distance in Å.
Fractional coordinates of all 4 atoms:
1 Cu 0.0104 0.0104 0.9847  3 Al 2.57-2.86, 4 Cu 2.63-2.77, 3 Ag 2.73-2.78
2 Cu 0.4896 0.4896 0.5153  3 Al 2.57-2.86, 4 Cu 2.63-2.77, 3 Ag 2.73-2.78
3 Ag 0.2500 0.2500 0.2500  4 Al 2.69, 6 Cu 2.73-2.78, 2 Ag 2.88
4 Al 0.7500 0.7500 0.7500  6 Cu 2.57-2.86, 4 Ag 2.69

***

[5]
# AlCu2Ag2

AlCu2Ag2 after structural relaxation (PBE, Alexandria).

Computed properties:
M_tot, μB per formula unit: 0.00
Distance to the lowest polymorph of the same formula, meV/atom: 0
Energy relative to the elements, eV per atom: 0.063
Space group: P4/mbm, No. 127
Density, Mg/m³: 7.8
Fermi-level density of states, states/eV per cell: 3.55

a = 6.3926 Å, b = 6.3926 Å, c = 3.8313 Å
α = 90.00°, β = 90.00°, γ = 90.00°
Last column: nearest neighbours and their distance in Å.
Fractional coordinates of all 10 atoms:
1 Cu 0.3648 0.8648 0.0000  1 Cu 2.44, 2 Al 2.49, 6 Ag 2.62-2.73
2 Cu 0.8648 0.6352 0.0000  1 Cu 2.44, 2 Al 2.49, 6 Ag 2.62-2.73
3 Cu 0.6352 0.1352 0.0000  1 Cu 2.44, 2 Al 2.49, 6 Ag 2.62-2.73
4 Cu 0.1352 0.3648 0.0000  1 Cu 2.44, 2 Al 2.49, 6 Ag 2.62-2.73
5 Ag 0.1664 0.6664 0.5000  6 Cu 2.62-2.73
6 Ag 0.6664 0.8336 0.5000  6 Cu 2.62-2.73
7 Ag 0.8336 0.3336 0.5000  6 Cu 2.62-2.73
8 Ag 0.3336 0.1664 0.5000  6 Cu 2.62-2.73
9 Al 0.0000 0.0000 0.0000  4 Cu 2.49
10 Al 0.5000 0.5000 0.0000  4 Cu 2.49

***

[6]
# AlCu3Ag

AlCu3Ag after structural relaxation (PBE, Alexandria).

Computed properties:
M_tot, μB per formula unit: 0.00
Distance to the lowest polymorph of the same formula, meV/atom: 300
Energy relative to the elements, eV per atom: 0.959
Space group: Pm-3m, No. 221
Density, Mg/m³: 5.2
Fermi-level density of states, states/eV per cell: 2.02

a = 4.7142 Å, b = 4.7142 Å, c = 4.7142 Å
α = 90.00°, β = 90.00°, γ = 90.00°
Last column: nearest neighbours and their distance in Å.
Fractional coordinates of all 5 atoms:
1 Cu 0.0000 0.5000 0.0000  2 Ag 2.36
2 Cu 0.0000 0.0000 0.5000  2 Ag 2.36
3 Cu 0.5000 0.0000 0.0000  2 Ag 2.36
4 Ag 0.0000 0.0000 0.0000  6 Cu 2.36
5 Al 0.5000 0.5000 0.5000  12 Cu 3.33

***

[7]
# Al8Cu3Ag2

Al8Cu3Ag2 after structural relaxation (PBE, Alexandria).

Computed properties:
M_tot, μB per formula unit: 0.00
Energy relative to the elements, eV per atom: -0.077
Space group: Cmmm, No. 65
Density, Mg/m³: 4.8
Fermi-level density of states, states/eV per cell: 2.04

a = 7.5019 Å, b = 7.5019 Å, c = 4.1564 Å
α = 90.00°, β = 90.00°, γ = 112.91°
Last column: nearest neighbours and their distance in Å.
Fractional coordinates of all 13 atoms:
1 Al 0.3861 0.6139 0.0000  2 Cu 2.53, 2 Ag 2.66
2 Al 0.6139 0.3861 0.0000  2 Cu 2.53, 2 Ag 2.66
3 Al 0.8742 0.1258 0.0000  4 Cu 2.58-2.61, 2 Ag 2.62
4 Al 0.1258 0.8742 0.0000  4 Cu 2.58-2.61, 2 Ag 2.62
5 Al 0.8634 0.6261 0.5000  3 Cu 2.55-2.58, 2 Ag 2.58-2.71
6 Al 0.3739 0.1366 0.5000  3 Cu 2.55-2.58, 2 Ag 2.58-2.71
7 Al 0.6261 0.8634 0.5000  3 Cu 2.55-2.58, 2 Ag 2.58-2.71
8 Al 0.1366 0.3739 0.5000  3 Cu 2.55-2.58, 2 Ag 2.58-2.71
9 Cu 0.0000 0.0000 0.5000  8 Al 2.58-2.61
10 Cu 0.2473 0.2473 0.0000  8 Al 2.53-2.58
11 Cu 0.7527 0.7527 0.0000  8 Al 2.53-2.58
12 Ag 0.7465 0.2535 0.5000  8 Al 2.58-2.71
13 Ag 0.2535 0.7465 0.5000  8 Al 2.58-2.71

***

[8]
# AlCu2Ag

AlCu2Ag after structural relaxation (PBE, Alexandria).

Computed properties:
M_tot, μB per formula unit: 0.00
Energy relative to the elements, eV per atom: -0.071
Space group: Cm, No. 8
Density, Mg/m³: 7.7
Fermi-level density of states, states/eV per cell: 0.62

a = 4.8703 Å, b = 4.8703 Å, c = 4.4242 Å
α = 70.86°, β = 70.86°, γ = 35.09°
Last column: nearest neighbours and their distance in Å.
Fractional coordinates of all 4 atoms:
1 Cu 0.9990 0.9990 0.9990  2 Cu 2.55, 2 Al 2.57, 4 Ag 2.65-2.66
2 Cu 0.2619 0.2619 0.2375  2 Cu 2.55, 4 Al 2.62-2.71, 3 Ag 2.73-2.82
3 Ag 0.5005 0.5005 0.4971  7 Cu 2.65-2.82, 3 Al 2.74-2.85, 2 Ag 2.94
4 Al 0.7387 0.7387 0.7663  6 Cu 2.57-2.71, 3 Ag 2.74-2.85

***

[9]
# AlCuAg

AlCuAg after structural relaxation (PBE, Alexandria).

Computed properties:
M_tot, μB per formula unit: 0.00
Distance to the lowest polymorph of the same formula, meV/atom: 61
Energy relative to the elements, eV per atom: -0.034
Space group: P3m1, No. 156
Density, Mg/m³: 7.3
Fermi-level density of states, states/eV per cell: 0.80

a = 4.3069 Å, b = 4.3069 Å, c = 2.8212 Å
α = 90.00°, β = 90.00°, γ = 120.00°
Last column: nearest neighbours and their distance in Å.
Fractional coordinates of all 3 atoms:
1 Cu 0.3333 0.6667 0.5683  3 Al 2.52, 3 Ag 2.78, 2 Cu 2.82
2 Ag 0.0000 0.0000 0.0090  6 Al 2.75-2.99, 6 Cu 2.78-2.94, 2 Ag 2.82
3 Al 0.6667 0.3333 0.4227  3 Cu 2.52, 3 Ag 2.75, 2 Al 2.82

***

[10]
# AlCuAg2

AlCuAg2 after structural relaxation (PBE, Alexandria).

Computed properties:
M_tot, μB per formula unit: 0.00
Energy relative to the elements, eV per atom: -0.013
Space group: C2/m, No. 12
Density, Mg/m³: 8.0
Fermi-level density of states, states/eV per cell: 1.31

a = 4.8717 Å, b = 4.8717 Å, c = 4.7879 Å
α = 77.71°, β = 77.71°, γ = 34.93°
Last column: nearest neighbours and their distance in Å.
Fractional coordinates of all 4 atoms:
1 Cu 0.7500 0.7500 0.7500  6 Ag 2.80-2.82, 4 Al 2.81, 2 Cu 2.92
2 Ag 0.9976 0.9976 0.0001  3 Al 2.76-2.86, 3 Cu 2.80-2.82, 6 Ag 2.80-2.92
3 Ag 0.5024 0.5024 0.4999  3 Al 2.76-2.86, 3 Cu 2.80-2.82, 6 Ag 2.80-2.92
4 Al 0.2500 0.2500 0.2500  6 Ag 2.76-2.86, 4 Cu 2.81, 2 Al 2.92

***

[11]
# AlCuAg

AlCuAg after structural relaxation (PBE, Alexandria).

Computed properties:
M_tot, μB per formula unit: 0.00
Distance to the lowest polymorph of the same formula, meV/atom: 0
Energy relative to the elements, eV per atom: -0.096
Space group: Imm2, No. 44
Density, Mg/m³: 7.4
Fermi-level density of states, states/eV per cell: 0.57

a = 2.9969 Å, b = 3.3825 Å, c = 4.9470 Å
α = 109.99°, β = 107.63°, γ = 90.00°
Last column: nearest neighbours and their distance in Å.
Fractional coordinates of all 3 atoms:
1 Ag 0.9999 0.9999 0.9999  5 Cu 2.76-2.82, 5 Al 2.76-2.82, 2 Ag 3.00
2 Al 0.6795 0.6795 0.3591  4 Cu 2.58, 5 Ag 2.76-2.82
3 Cu 0.3205 0.3205 0.6411  4 Al 2.58, 5 Ag 2.76-2.82

***

[12]
# Al2Cu3Ag2

Al2Cu3Ag2 after structural relaxation (PBE, Alexandria).

Computed properties:
M_tot, μB per formula unit: 0.00
Energy relative to the elements, eV per atom: -0.094
Space group: C2/m, No. 12
Density, Mg/m³: 7.6
Fermi-level density of states, states/eV per cell: 1.65

a = 3.7275 Å, b = 4.8220 Å, c = 6.1368 Å
α = 95.27°, β = 90.00°, γ = 112.74°
Last column: nearest neighbours and their distance in Å.
Fractional coordinates of all 7 atoms:
1 Al 0.5757 0.1514 0.7401  6 Cu 2.57-2.81, 5 Ag 2.78-2.83
2 Al 0.4243 0.8486 0.2599  6 Cu 2.57-2.81, 5 Ag 2.78-2.83
3 Cu 0.0000 0.0000 0.0000  4 Al 2.59, 6 Cu 2.70-2.74, 2 Ag 2.73
4 Cu 0.7175 0.4350 0.1251  5 Cu 2.52-2.74, 4 Al 2.57-2.81, 2 Ag 2.72
5 Cu 0.2825 0.5650 0.8749  5 Cu 2.52-2.74, 4 Al 2.57-2.81, 2 Ag 2.72
6 Ag 0.8598 0.7196 0.5841  4 Cu 2.72-2.97, 5 Al 2.78-2.83, 3 Ag 2.79-2.82
7 Ag 0.1402 0.2804 0.4159  4 Cu 2.72-2.97, 5 Al 2.78-2.83, 3 Ag 2.79-2.82

***

[13]
# AlCuAg2

AlCuAg2 after structural relaxation (PBE, Alexandria).

Computed properties:
M_tot, μB per formula unit: 0.00
Energy relative to the elements, eV per atom: -0.062
Space group: P4mm, No. 99
Density, Mg/m³: 8.1
Fermi-level density of states, states/eV per cell: 0.79

a = 3.0737 Å, b = 3.0756 Å, c = 6.6428 Å
α = 90.00°, β = 90.00°, γ = 90.00°
Last column: nearest neighbours and their distance in Å.
Fractional coordinates of all 4 atoms:
1 Cu 0.5000 0.5000 0.7254  4 Al 2.54, 4 Ag 2.73
2 Ag 0.0000 0.0000 0.9748  4 Cu 2.73, 4 Ag 2.93, 1 Al 2.96
3 Ag 0.5000 0.5000 0.2710  4 Al 2.77, 8 Ag 2.93-3.08, 1 Cu 3.02
4 Al 0.0000 0.0000 0.5288  4 Cu 2.54, 4 Ag 2.77

***

[14]
# AlCuAg2

AlCuAg2 after structural relaxation (PBE, Alexandria).

Computed properties:
M_tot, μB per formula unit: 0.00
Energy relative to the elements, eV per atom: -0.009
Space group: P4/mmm, No. 123
Density, Mg/m³: 8.1
Fermi-level density of states, states/eV per cell: 1.13

a = 4.4015 Å, b = 4.4015 Å, c = 3.2400 Å
α = 90.00°, β = 90.00°, γ = 90.00°
Last column: nearest neighbours and their distance in Å.
Fractional coordinates of all 4 atoms:
1 Cu 0.0000 0.5000 0.5000  8 Ag 2.73
2 Ag 0.0000 0.0000 0.0000  4 Al 2.73, 4 Cu 2.73
3 Ag 0.5000 0.5000 0.0000  4 Cu 2.73, 4 Al 2.73
4 Al 0.5000 0.0000 0.5000  8 Ag 2.73

***

[15]
# AlCu2Ag

AlCu2Ag after structural relaxation (PBE, Alexandria).

Computed properties:
M_tot, μB per formula unit: 0.00
Energy relative to the elements, eV per atom: -0.072
Space group: Pmm2, No. 25
Density, Mg/m³: 7.7
Fermi-level density of states, states/eV per cell: 0.98

a = 4.3698 Å, b = 2.8356 Å, c = 4.5757 Å
α = 89.99°, β = 90.00°, γ = 90.00°
Last column: nearest neighbours and their distance in Å.
Fractional coordinates of all 4 atoms:
1 Cu 0.0000 0.1250 0.9463  4 Al 2.67, 4 Ag 2.69-2.70, 4 Cu 2.69-2.84
2 Cu 0.5000 0.1250 0.2889  4 Al 2.58-2.80, 4 Cu 2.69-2.84, 4 Ag 2.70
3 Ag 0.0000 0.6248 0.4472  8 Cu 2.69-2.70, 2 Al 2.77, 2 Ag 2.84
4 Al 0.5000 0.6253 0.8176  8 Cu 2.58-2.80, 2 Ag 2.77, 2 Al 2.84

***

[16]
# Al2CuAg

Al2CuAg after structural relaxation (PBE, Alexandria).

Computed properties:
M_tot, μB per formula unit: 0.00
Distance to the lowest polymorph of the same formula, meV/atom: 85
Energy relative to the elements, eV per atom: 0.006
Space group: Cmmm, No. 65
Density, Mg/m³: 6.0
Fermi-level density of states, states/eV per cell: 0.78

a = 2.8612 Å, b = 2.8612 Å, c = 8.6889 Å
α = 90.00°, β = 90.00°, γ = 118.07°
Last column: nearest neighbours and their distance in Å.
Fractional coordinates of all 4 atoms:
1 Cu 0.5000 0.5000 0.2500  4 Al 2.50
2 Ag 0.5000 0.5000 0.7500  4 Al 2.75, 6 Ag 2.86-2.94
3 Al 0.0000 0.0000 0.0167  2 Cu 2.50, 2 Ag 2.75
4 Al 0.0000 0.0000 0.4833  2 Cu 2.50, 2 Ag 2.75

***

[17]
# AlCuAg

AlCuAg after structural relaxation (PBE, Alexandria).

Computed properties:
M_tot, μB per formula unit: 0.00
Distance to the lowest polymorph of the same formula, meV/atom: 12
Energy relative to the elements, eV per atom: -0.084
Space group: P-1, No. 2
Density, Mg/m³: 7.3
Fermi-level density of states, states/eV per cell: 1.33

a = 2.9975 Å, b = 5.9902 Å, c = 5.4835 Å
α = 72.69°, β = 74.30°, γ = 89.99°
Last column: nearest neighbours and their distance in Å.
Fractional coordinates of all 6 atoms:
1 Al 0.3417 0.4080 0.3180  4 Cu 2.54-2.56, 2 Ag 2.75-2.76
2 Al 0.6583 0.5920 0.6820  4 Cu 2.54-2.56, 2 Ag 2.75-2.76
3 Cu 0.0034 0.2838 0.9923  4 Al 2.54-2.56, 1 Cu 2.62, 4 Ag 2.71-2.76
4 Cu 0.9966 0.7162 0.0077  4 Al 2.54-2.56, 1 Cu 2.62, 4 Ag 2.71-2.76
5 Ag 0.6529 0.0834 0.6933  4 Cu 2.71-2.76, 4 Al 2.75-3.03, 4 Ag 2.94-3.00
6 Ag 0.3471 0.9166 0.3067  4 Cu 2.71-2.76, 4 Al 2.75-3.03, 4 Ag 2.94-3.00

***

[18]
# Al2CuAg

Al2CuAg after structural relaxation (PBE, Alexandria).

Computed properties:
M_tot, μB per formula unit: 0.00
Distance to the lowest polymorph of the same formula, meV/atom: 13
Energy relative to the elements, eV per atom: -0.066
Space group: R3m, No. 160
Density, Mg/m³: 6.1
Fermi-level density of states, states/eV per cell: 1.22

a = 2.9044 Å, b = 2.9044 Å, c = 8.6314 Å
α = 80.31°, β = 80.31°, γ = 60.00°
Last column: nearest neighbours and their distance in Å.
Fractional coordinates of all 4 atoms:
1 Al 0.0774 0.0774 0.7678  3 Cu 2.59, 3 Ag 2.83
2 Al 0.2558 0.2558 0.2326  3 Cu 2.58, 3 Ag 2.81
3 Cu 0.6663 0.6663 0.0012  6 Al 2.58-2.59
4 Ag 0.5005 0.5005 0.4985  6 Al 2.81-2.83, 6 Ag 2.90

***

[19]
# AlCuAg2

AlCuAg2 after structural relaxation (PBE, Alexandria).

Computed properties:
M_tot, μB per formula unit: 0.00
Energy relative to the elements, eV per atom: -0.052
Space group: Cm, No. 8
Density, Mg/m³: 8.1
Fermi-level density of states, states/eV per cell: 0.79

a = 5.0910 Å, b = 5.0910 Å, c = 4.6390 Å
α = 70.35°, β = 70.35°, γ = 33.92°
Last column: nearest neighbours and their distance in Å.
Fractional coordinates of all 4 atoms:
1 Cu 0.7670 0.7670 0.7682  2 Al 2.53, 7 Ag 2.75-2.84
2 Ag 0.0137 0.0137 0.9592  3 Cu 2.75-2.84, 4 Al 2.76-2.77, 5 Ag 2.97-3.06
3 Ag 0.2364 0.2364 0.2898  3 Al 2.75-2.84, 4 Cu 2.76-2.77, 5 Ag 2.97-3.06
4 Al 0.4829 0.4829 0.4828  2 Cu 2.53, 6 Ag 2.75-2.77

***

[20]
# AlCuAg2

AlCuAg2 after structural relaxation (PBE, Alexandria).

Computed properties:
M_tot, μB per formula unit: 0.00
Energy relative to the elements, eV per atom: 0.042
Space group: Cm, No. 8
Density, Mg/m³: 8.0
Fermi-level density of states, states/eV per cell: 0.58

a = 2.8895 Å, b = 2.8895 Å, c = 9.0150 Å
α = 80.44°, β = 80.44°, γ = 59.96°
Last column: nearest neighbours and their distance in Å.
Fractional coordinates of all 4 atoms:
1 Al 0.4994 0.4994 0.5001  6 Ag 2.78-2.80, 6 Al 2.89
2 Cu 0.6669 0.6669 0.9998  6 Ag 2.74-2.76, 6 Cu 2.89
3 Ag 0.0823 0.0823 0.7530  3 Cu 2.74-2.75, 3 Al 2.78-2.80, 6 Ag 2.89
4 Ag 0.2514 0.2514 0.2471  3 Cu 2.74-2.76, 3 Al 2.79-2.80, 6 Ag 2.89